[1]
This record from Alexandria via LeMat-Bulk describes a relaxed AgTeCl2 crystal. The functional is GGA-PBE.

Calculated values
- E_form (uncorrected): 0.112 eV/atom

Structure (POSCAR):
```
AgTeCl2
1.0
-3.043 2.369 3.645
1.611 -4.197 2.819
2.603 1.712 1.061
Te Ag Cl
1 1 2
Direct
0.500 0.000 0.500
0.000 0.500 0.500
0.000 0.000 0.000
0.500 0.500 0.000
```

***

[2]
This record from Alexandria via LeMat-Bulk describes a relaxed LiTa2P crystal. The functional is GGA-PBE.

Calculated values
- Energy relative to the elements: 0.03 eV/atom

Structure (POSCAR):
```
LiTa2P
1.0
9.195 -0.019 -0.011
8.719 2.918 -0.011
8.719 1.411 2.554
Li P Ta
1 1 2
Direct
0.489 0.489 0.489
0.748 0.748 0.748
0.011 0.011 0.011
0.253 0.253 0.253
```

***

[3]
This record from Alexandria via LeMat-Bulk describes a relaxed ReAs2W crystal. The functional is GGA-PBE.

Calculated values
- Energy relative to the elements: 0.33 eV/atom

Structure (POSCAR):
```
ReAs2W
1.0
2.824 -0.001 0.000
-1.161 2.574 0.000
0.000 0.000 9.953
Re As W
1 2 1
Direct
0.000 0.000 0.511
0.000 0.000 0.952
0.500 0.500 0.302
0.500 0.500 0.735
```

***

[4]
This record from Alexandria via LeMat-Bulk describes a relaxed KYIr2 crystal. The functional is GGA-PBE.

Calculated values
- Energy relative to the elements: 0.44 eV/atom

Structure (POSCAR):
```
KYIr2
1.0
4.437 0.000 0.000
0.000 4.437 0.000
0.000 0.000 4.151
Ir K Y
2 1 1
Direct
0.000 0.000 0.000
0.500 0.500 0.000
0.500 0.000 0.500
0.000 0.500 0.500
```

***

[5]
This record from Alexandria via LeMat-Bulk describes a relaxed Sr2Li2AsO6 crystal. The functional is GGA-PBE.

Calculated values
- E_form (uncorrected): -1.945 eV/atom

Structure (POSCAR):
```
Sr2Li2AsO6
1.0
-4.219 -2.569 -2.725
0.441 -5.452 -1.382
-3.264 -3.920 2.909
Sr Li As O
2 2 1 6
Direct
0.771 0.771 0.686
0.229 0.229 0.314
0.424 0.424 0.728
0.576 0.576 0.272
0.000 0.000 0.000
0.773 0.773 0.227
0.228 0.773 0.227
0.773 0.228 0.227
0.227 0.772 0.773
0.772 0.227 0.773
0.227 0.227 0.773
```

***

[6]
This record from Alexandria via LeMat-Bulk describes a relaxed AlGaCoNi crystal. The functional is GGA-PBE.

Calculated values
- Energy relative to the elements: -0.47 eV/atom

Structure (POSCAR):
```
AlGaCoNi
1.0
-0.470 1.233 -2.610
-1.383 -2.417 -0.892
-4.891 2.106 1.876
Al Ga Co Ni
1 1 1 1
Direct
0.000 0.000 0.361
0.000 0.000 0.854
0.500 0.500 0.606
0.500 0.500 0.108
```

***

[7]
This record from Alexandria via LeMat-Bulk describes a relaxed Pr6TlIn5 crystal. The functional is GGA-PBE.

Calculated values
- Energy relative to the elements: -0.30 eV/atom

Structure (POSCAR):
```
Pr6TlIn5
1.0
6.804 0.059 0.000
2.155 9.822 0.000
1.078 4.911 5.841
Pr Tl In
6 1 5
Direct
0.749 0.083 0.335
0.251 0.582 0.335
0.253 0.250 0.000
0.747 0.750 0.000
0.749 0.418 0.665
0.251 0.917 0.665
0.000 0.000 0.000
0.500 0.168 0.665
0.000 0.335 0.330
0.500 0.500 0.000
0.000 0.665 0.670
0.500 0.832 0.335
```

***

[8]
This record from Alexandria via LeMat-Bulk describes a relaxed CrAs2PdBr crystal. The functional is GGA-PBE.

Calculated values
- E_form (uncorrected): 0.483 eV/atom

Structure (POSCAR):
```
CrAs2PdBr
1.0
4.565 0.000 0.000
0.000 4.565 0.000
0.000 0.000 5.258
Cr As Br Pd
1 2 1 1
Direct
0.000 0.000 0.000
0.000 0.500 0.000
0.500 0.000 0.000
0.000 0.000 0.500
0.500 0.500 0.500
```

***

[9]
This record from Alexandria via LeMat-Bulk describes a relaxed CdAgAs2 crystal. The functional is GGA-PBE.

Calculated values
- Energy relative to the elements: 0.30 eV/atom

Structure (POSCAR):
```
CdAgAs2
1.0
-3.210 3.594 -0.620
-4.583 -0.549 1.515
-1.607 2.510 3.837
As Ag Cd
2 1 1
Direct
0.000 0.000 0.000
0.250 0.250 0.250
0.500 0.500 0.500
0.750 0.750 0.750
```

***

[10]
This record from Alexandria via LeMat-Bulk describes a relaxed SiPd3Cl crystal. The functional is GGA-PBE.

Calculated values
- E_form (uncorrected): 0.074 eV/atom

Structure (POSCAR):
```
SiPd3Cl
1.0
4.584 0.000 0.000
0.000 4.584 0.000
0.000 0.000 4.584
Si Pd Cl
1 3 1
Direct
0.000 0.000 0.000
0.000 0.500 0.000
0.000 0.000 0.500
0.500 0.000 0.000
0.500 0.500 0.500
```

***

[11]
This record from Alexandria via LeMat-Bulk describes a relaxed Li2LaMgIn2 crystal. The functional is GGA-PBE.

Calculated values
- Energy relative to the elements: -0.31 eV/atom

Structure (POSCAR):
```
Li2LaMgIn2
1.0
4.858 0.000 0.000
-2.429 4.207 0.000
0.000 0.000 7.066
Li La Mg In
2 1 1 2
Direct
0.333 0.667 0.319
0.667 0.333 0.681
0.000 0.000 0.000
0.000 0.000 0.500
0.333 0.667 0.743
0.667 0.333 0.257
```

***

[12]
This record from Alexandria via LeMat-Bulk describes a relaxed RbSn3Pb crystal. The functional is GGA-PBE.

Calculated values
- Energy relative to the elements: 0.39 eV/atom

Structure (POSCAR):
```
RbSn3Pb
1.0
5.963 0.000 0.000
0.000 5.963 0.000
0.000 0.000 5.963
Pb Sn Rb
1 3 1
Direct
0.000 0.000 0.000
0.000 0.500 0.000
0.000 0.000 0.500
0.500 0.000 0.000
0.500 0.500 0.500
```

***

no.,calculated total energy (eV per cell)
1,-9.24
2,-30.90
3,-33.38
4,-23.52
5,-62.99
6,-21.53
7,-48.28
8,-23.38
9,-11.85
10,-22.48
11,-17.68
12,-14.71